No. 1
The following is a GGA-PBE calculation of Tb2PrEr after structural relaxation, from Alexandria.

```
4
Lattice="-2.543 2.543 5.038 2.543 -2.543 5.038 2.543 2.543 -5.038" Properties=species:S:1:pos:R:3 pbc="T T T"
Tb 0.000 0.000 0.000
Tb 0.000 2.543 2.519
Pr 2.543 0.000 2.519
Er 0.000 0.000 5.038
```

## Properties
Magnetization (μB per atom): 0.0002
Offset from the most stable computed form (meV/atom): 0.6
E (eV/atom): -4.630
SG: No. 119
ΔE_f (meV per atom): 21

No. 2
The following is a GGA-PBE calculation of PrEr2Pb after structural relaxation, from Alexandria.

```
4
Lattice="1.806 1.042 11.050 -1.806 1.042 11.050 0.000 -2.085 11.050" Properties=species:S:1:pos:R:3 pbc="T T T"
Pr 0.000 0.000 0.000
Er 0.000 0.000 8.107
Er 0.000 0.000 13.979
Pb 0.000 0.000 27.624
```

## Properties
Magnetization (μB per atom): 0.0001
Offset from the most stable computed form (meV/atom): 174.0
E (eV/atom): -4.543
SG: No. 160
ΔE_f (meV per atom): -139

No. 3
The following is a GGA-PBE calculation of NbV2Ag2S6 after structural relaxation, from Alexandria.

```
11
Lattice="2.856 -5.064 0.000 2.856 5.064 0.000 -1.992 0.000 7.557" Properties=species:S:1:pos:R:3 pbc="T T T"
Nb 0.000 0.000 0.000
V 2.856 1.358 0.000
V 2.856 -1.358 0.000
Ag 1.860 3.153 3.778
Ag 1.860 -3.153 3.778
S 1.860 3.265 1.383
S 1.861 3.265 6.173
S 1.929 0.000 1.594
S 1.791 0.000 5.962
S 1.860 -3.265 1.383
S 1.861 -3.265 6.173
```

## Properties
Magnetization (μB per atom): 0.0000
E (eV/atom): -6.042
Formation energy (no corrections) (eV/f.u.): -7.7
SG: No. 12

No. 4
The following is a GGA-PBE calculation of CrNiMo after structural relaxation, from Alexandria.

```
3
Lattice="-1.260 1.910 4.056 1.260 -1.910 4.056 1.260 1.910 -4.056" Properties=species:S:1:pos:R:3 pbc="T T T"
Cr 0.000 0.000 0.000
Ni 0.000 0.000 2.820
Mo 0.000 0.000 5.469
```

## Properties
Magnetization (μB per atom): 0.3243
Offset from the most stable computed form (meV/atom): 106.2
E (eV/atom): -8.544
SG: No. 44
ΔE_f (meV per atom): 201

No. 5
The following is a GGA-PBE calculation of BeW after structural relaxation, from Alexandria.

```
4
Lattice="3.901 0.000 0.000 -1.951 3.379 0.000 0.000 0.000 4.555" Properties=species:S:1:pos:R:3 pbc="T T T"
Be 0.000 2.252 1.139
Be 1.951 1.126 3.416
W 0.000 2.252 3.416
W 1.951 1.126 1.139
```

## Properties
Magnetization (μB per atom): 0.0000
Offset from the most stable computed form (meV/atom): 1429.6
E (eV/atom): -7.138
SG: No. 194
ΔE_f (meV per atom): 1202

No. 6
The following is a GGA-PBE calculation of KSnTeI after structural relaxation, from Alexandria.

```
4
Lattice="2.318 1.338 8.543 -2.318 1.338 8.543 0.000 -2.676 8.543" Properties=species:S:1:pos:R:3 pbc="T T T"
K 0.000 0.000 0.000
Sn 0.000 0.000 21.085
Te 0.000 0.000 10.968
I 0.000 0.000 6.275
```

## Properties
Magnetization (μB per atom): 0.0000
E (eV/atom): -3.221
Formation energy (no corrections) (eV/f.u.): -3.1
SG: No. 160